CsZnO2: optimized geometry, PBE.

The structure belongs to space group I-42d (No. 122); the cell edges are 5.334, 5.334 and 11.065 Å and the angles 90.00°, 90.00° and 90.00°. The asymmetric unit holds Cs at (0.000, 0.000, 0.000), Zn at (0.000, 0.000, 0.500) and O at (0.001, 0.250, 0.625).

Its mass density is 4.86 g/cm3. As for the magnetic moment: 0.00 μB/f.u. The energy relative to the elements, uncorrected comes out at -1014.0 meV/atom.

---

LaY2Ru: optimized geometry, PBE.

The structure belongs to space group I-4m2 (No. 119); the cell edges are 4.450, 4.450 and 10.302 Å and the angles 90.00°, 90.00° and 90.00°. The asymmetric unit holds La at (0.000, 0.000, 0.000), Y at (0.000, 0.000, 0.500), Y at (0.000, 0.500, 0.250) and Ru at (0.000, 0.500, 0.750).

Its mass density is 6.80 g/cm3. As for the magnetic moment: 0.00 μB/f.u. The total DFT energy (no corrections) comes out at -6.611 eV per atom.

---

What is the formula in the first record? CsZnO2

---

Which value of magnetic moment does entry 2 give? 0.00 μB/f.u.

---

Copy entry 2 word for word.
LaY2Ru: optimized geometry, PBE.

The structure belongs to space group I-4m2 (No. 119); the cell edges are 4.450, 4.450 and 10.302 Å and the angles 90.00°, 90.00° and 90.00°. The asymmetric unit holds La at (0.000, 0.000, 0.000), Y at (0.000, 0.000, 0.500), Y at (0.000, 0.500, 0.250) and Ru at (0.000, 0.500, 0.750).

Its mass density is 6.80 g/cm3. As for the magnetic moment: 0.00 μB/f.u. The total DFT energy (no corrections) comes out at -6.611 eV per atom.